First-principles (PBE-GGA) data for a relaxed TlSi2Sb crystal, as listed in Alexandria.

abc: 7.400 7.182 3.369
angles: 90.00 95.30 90.00
Space group C2/m (No. 12)
Inequivalent atoms, fractional coordinates:
1 Tl 0.000 0.000 0.000 (multiplicity 2)
2 Si 0.250 0.250 0.500 (multiplicity 4)
3 Sb 0.000 0.500 0.000 (multiplicity 2)

***

First-principles (PBE-GGA) data for a relaxed TlSi2Sb crystal, as listed in Alexandria.

abc: 3.947 5.394 8.637
angles: 90.00 90.00 90.00
Space group Cmmm (No. 65)
Inequivalent atoms, fractional coordinates:
1 Tl 0.000 0.000 0.000 (multiplicity 2)
2 Si 0.000 0.500 0.265 (multiplicity 4)
3 Sb 0.000 0.000 0.500 (multiplicity 2)

***

First-principles (PBE-GGA) data for a relaxed TlSi2Sb crystal, as listed in Alexandria.

abc: 6.889 3.988 7.275
angles: 90.00 108.63 90.00
Space group C2/m (No. 12)
Inequivalent atoms, fractional coordinates:
1 Tl 0.000 0.000 0.000 (multiplicity 2)
2 Si 0.243 0.000 0.730 (multiplicity 4)
3 Sb 0.000 0.500 0.500 (multiplicity 2)

***

First-principles (PBE-GGA) data for a relaxed TlSiSb crystal, as listed in Alexandria.

abc: 4.0157 4.0157 6.0452
angles: 90.00 90.00 120.00
Space group P3m1 (No. 156)
Inequivalent atoms, fractional coordinates:
1 Tl 0.0000 0.0000 0.0000 (multiplicity 1)
2 Si 0.6667 0.3333 0.6489 (multiplicity 1)
3 Sb 0.3333 0.6667 0.4307 (multiplicity 1)

***

First-principles (PBE-GGA) data for a relaxed TlSi2Sb crystal, as listed in Alexandria.

abc: 3.422 3.472 7.866
angles: 90.00 90.00 90.00
Space group Pmm2 (No. 25)
Inequivalent atoms, fractional coordinates:
1 Tl 0.000 0.000 0.000 (multiplicity 1)
2 Si 0.000 0.000 0.405 (multiplicity 1)
3 Si 0.500 0.500 0.321 (multiplicity 1)
4 Sb 0.500 0.500 0.666 (multiplicity 1)

***

First-principles (PBE-GGA) data for a relaxed TlSi2Sb crystal, as listed in Alexandria.

abc: 4.191 4.191 10.368
angles: 90.00 90.00 90.00
Space group I-4m2 (No. 119)
Inequivalent atoms, fractional coordinates:
1 Tl 0.000 0.000 0.000 (multiplicity 2)
2 Si 0.000 0.000 0.500 (multiplicity 2)
3 Si 0.000 0.500 0.250 (multiplicity 2)
4 Sb 0.000 0.500 0.750 (multiplicity 2)

***

Energy above the lowest structure with this stoichiometry for every record listed, in sequence, given in eV per formula unit: 1.52, 1.48, 0.81, 0.00, 0.44, 1.54.
Formation energy (no corrections) for every record listed, in sequence, given in eV per atom: 0.619, 0.609, 0.440, 0.176, 0.348, 0.623.
Final energy for every record listed, in sequence, given in eV per atom: -3.715, -3.724, -3.894, -3.795, -3.986, -3.711.